Record 1
Density functional theory data (PBE) for LiTmGe2O6 after structural relaxation.

Computed properties:
**Fermi-level density of states**: 0.000 states/eV per cell
**Crystal system**: monoclinic
**Formation energy from raw total energies**: -2.27 eV per atom

```
data_LiTmGe2O6
_chemical_formula_sum 'Li4 Tm4 Ge8 O24'
_symmetry_space_group_name_H-M 'C 1 2/c 1'
_symmetry_Int_Tables_number 15
_cell_length_a 10.2291
_cell_length_b 9.6112
_cell_length_c 5.6682
_cell_angle_alpha 90.00
_cell_angle_beta 109.71
_cell_angle_gamma 90.00
loop_
_symmetry_equiv_pos_as_xyz
'x,y,z'
'-x,-y,-z'
'-x,y,-z+1/2'
'x,-y,z+1/2'
'x+1/2,y+1/2,z'
'-x+1/2,-y+1/2,-z'
'-x+1/2,y+1/2,-z+1/2'
'x+1/2,-y+1/2,z+1/2'
loop_
_atom_site_label
_atom_site_type_symbol
_atom_site_fract_x
_atom_site_fract_y
_atom_site_fract_z
_atom_site_occupancy
Li1 Li 0.0000 0.2319 0.2500 1
Tm1 Tm 0.0000 0.1110 0.7500 1
Ge1 Ge 0.1961 0.4148 0.7187 1
O1 O 0.1186 0.0790 0.1571 1
O2 O 0.1202 0.2546 0.6122 1
O3 O 0.1394 0.4579 0.9767 1
```

---

Record 2
Density functional theory data (PBE) for Pu2Ga7Cu after structural relaxation.

Computed properties:
**Fermi-level density of states**: 23.130 states/eV per cell
**ΔH_f (0 K)**: -269.3 kJ/mol of formula units
**Crystal system**: tetragonal

```
data_Pu2Ga7Cu
_chemical_formula_sum 'Pu2 Ga7 Cu1'
_symmetry_space_group_name_H-M 'P -4 m 2'
_symmetry_Int_Tables_number 115
_cell_length_a 4.1976
_cell_length_b 4.1976
_cell_length_c 10.7702
_cell_angle_alpha 90.00
_cell_angle_beta 90.00
_cell_angle_gamma 90.00
loop_
_symmetry_equiv_pos_as_xyz
'x,y,z'
'y,-x,-z'
'-x,-y,z'
'-y,x,-z'
'-x,y,z'
'-y,-x,-z'
'x,-y,z'
'y,x,-z'
loop_
_atom_site_label
_atom_site_type_symbol
_atom_site_fract_x
_atom_site_fract_y
_atom_site_fract_z
_atom_site_occupancy
Pu1 Pu 0.0000 0.5000 0.2496 1
Ga1 Ga 0.0000 0.0000 0.0000 1
Ga2 Ga 0.0000 0.0000 0.5000 1
Ga3 Ga 0.0000 0.5000 0.6431 1
Ga4 Ga 0.0000 0.5000 0.8706 1
Ga5 Ga 0.5000 0.5000 0.5000 1
Cu1 Cu 0.5000 0.5000 0.0000 1
```

---

Record 3
Density functional theory data (PBE) for LiNbB3 after structural relaxation.

Computed properties:
**Fermi-level density of states**: 1.606 states/eV per cell
**ΔH_f (0 K)**: 588.9 kJ/mol of formula units
**Crystal system**: cubic
**Energy above the most stable polymorph in this dataset**: 19 meV per atom

```
data_LiNbB3
_chemical_formula_sum 'Li1 Nb1 B3'
_symmetry_space_group_name_H-M 'P m -3 m'
_symmetry_Int_Tables_number 221
_symmetry_space_group_name_Hall '-P 4 2 3'
_cell_length_a 3.6029
_cell_length_b 3.6029
_cell_length_c 3.6029
_cell_angle_alpha 90.00
_cell_angle_beta 90.00
_cell_angle_gamma 90.00
loop_
_atom_site_label
_atom_site_type_symbol
_atom_site_fract_x
_atom_site_fract_y
_atom_site_fract_z
_atom_site_occupancy
Li1 Li 0.0000 0.0000 0.0000 1
Nb1 Nb 0.5000 0.5000 0.5000 1
B1 B 0.0000 0.0000 0.5000 1
```